(1)
A plane-wave DFT calculation with PBE-GGA was carried out for an optimized crystal structure of K2SbO3.

abc: 10.2534 10.2534 3.2791
angles: 90.00 90.00 156.54
Atoms (fractional coordinates):
K 0.1339 0.8661 0.0000
K 0.8661 0.1339 0.0000
Sb 0.5000 0.5000 0.5000
O 0.0000 0.0000 0.5000
O 0.4341 0.5659 0.0000
O 0.5659 0.4341 0.0000

Results
Space group: No. 65
Calculated total energy, eV per atom: -4.78
Formation energy from raw total energies, meV per atom: -1244
ρ, g cm⁻³: 3.000
Energy above the most stable polymorph in this dataset, kJ/mol of atoms: 21.49

(2)
A plane-wave DFT calculation with PBE-GGA was carried out for an optimized crystal structure of K3Sb2O4.

abc: 8.5595 8.5595 5.7446
angles: 101.02 101.02 89.44
Atoms (fractional coordinates):
K 0.1111 0.8889 0.7500
K 0.2863 0.5090 0.4247
K 0.4910 0.7137 0.0753
K 0.5090 0.2863 0.9247
K 0.7137 0.4910 0.5753
K 0.8889 0.1111 0.2500
Sb 0.0951 0.3365 0.8336
Sb 0.3365 0.0951 0.3336
Sb 0.6635 0.9049 0.6664
Sb 0.9049 0.6635 0.1664
O 0.1489 0.2148 0.1053
O 0.2148 0.1489 0.6053
O 0.2711 0.4886 0.8970
O 0.4886 0.2711 0.3970
O 0.5114 0.7289 0.6030
O 0.7289 0.5114 0.1030
O 0.7852 0.8511 0.3947
O 0.8511 0.7852 0.8947

Results
Space group: No. 15
Calculated total energy, eV per atom: -4.80
Formation energy from raw total energies, meV per atom: -1319
ρ, g cm⁻³: 3.481

(3)
A plane-wave DFT calculation with PBE-GGA was carried out for an optimized crystal structure of KSb2O5.

abc: 6.5649 6.5649 6.5649
angles: 149.87 130.59 58.97
Atoms (fractional coordinates):
K 0.0000 0.0000 0.0000
Sb 0.3221 0.8221 0.5000
Sb 0.6779 0.1779 0.5000
O 0.0862 0.3314 0.7548
O 0.4234 0.6686 0.7548
O 0.5000 0.0000 0.5000
O 0.5766 0.3314 0.2452
O 0.9138 0.6686 0.2452

Results
Space group: No. 71
Calculated total energy, eV per atom: -5.53
Formation energy from raw total energies, meV per atom: -1268
ρ, g cm⁻³: 5.626